Entry from the Alexandria database: crystalline LaSm3Fe4O12 at its relaxed geometry (PBE+U).

a = 5.477 Å, b = 7.840 Å, c = 5.686 Å
α = 90.00°, β = 90.09°, γ = 90.00°
Element x y z (fractional)
La 0.000 0.000 0.000
Sm 0.473 0.000 0.509
Sm 0.503 0.500 0.391
Sm 0.972 0.500 0.888
Fe 0.487 0.252 0.950
Fe 0.487 0.748 0.950
Fe 0.990 0.252 0.448
Fe 0.990 0.748 0.448
O 0.091 0.500 0.482
O 0.193 0.202 0.745
O 0.193 0.798 0.745
O 0.293 0.200 0.253
O 0.293 0.800 0.253
O 0.384 0.500 0.986
O 0.574 0.000 0.917
O 0.692 0.305 0.653
O 0.692 0.695 0.653
O 0.788 0.305 0.151
O 0.788 0.695 0.151
O 0.887 0.000 0.425

## Properties
- uncorrected energy (Ha/atom) = -0.2778